# 1
A plane-wave DFT calculation with PBE was carried out for a relaxed structure of Ba2InSnPd4.

Crystal system: trigonal
E_tot: -4.57 eV per atom

a = 4.6772 Å, b = 4.6772 Å, c = 11.1194 Å
α = 90.00°, β = 90.00°, γ = 120.00°
Space group P-3m1 (No. 164)
Asymmetric unit:
Ba: 0.3333 0.6667 0.2498 [2 per cell]
In: 0.0000 0.0000 0.5000 [1 per cell]
Sn: 0.0000 0.0000 0.0000 [1 per cell]
Pd: 0.3333 0.6667 0.5443 [2 per cell]
Pd: 0.3333 0.6667 0.9557 [2 per cell]



# 2
A plane-wave DFT calculation with PBE was carried out for a relaxed structure of BaIn2SnPd.

Crystal system: tetragonal
E_tot: -3.89 eV per atom

a = 4.862 Å, b = 4.862 Å, c = 11.726 Å
α = 90.00°, β = 90.00°, γ = 90.00°
Space group I4mm (No. 107)
Asymmetric unit:
Ba: 0.000 0.000 0.000 [2 per cell]
In: 0.000 0.500 0.255 [4 per cell]
Sn: 0.000 0.000 0.590 [2 per cell]
Pd: 0.000 0.000 0.362 [2 per cell]



# 3
A plane-wave DFT calculation with PBE was carried out for a relaxed structure of BaInSn2Pd.

Crystal system: tetragonal
E_tot: -4.17 eV per atom

a = 4.935 Å, b = 4.935 Å, c = 11.407 Å
α = 90.00°, β = 90.00°, γ = 90.00°
Space group I4mm (No. 107)
Asymmetric unit:
Ba: 0.000 0.000 0.000 [2 per cell]
In: 0.000 0.000 0.588 [2 per cell]
Sn: 0.000 0.500 0.252 [4 per cell]
Pd: 0.000 0.000 0.352 [2 per cell]



Repeat the second record exactly.
A plane-wave DFT calculation with PBE was carried out for a relaxed structure of BaIn2SnPd.

Crystal system: tetragonal
E_tot: -3.89 eV per atom

a = 4.862 Å, b = 4.862 Å, c = 11.726 Å
α = 90.00°, β = 90.00°, γ = 90.00°
Space group I4mm (No. 107)
Asymmetric unit:
Ba: 0.000 0.000 0.000 [2 per cell]
In: 0.000 0.500 0.255 [4 per cell]
Sn: 0.000 0.000 0.590 [2 per cell]
Pd: 0.000 0.000 0.362 [2 per cell]



- Number 3 is which compound?
  BaInSn2Pd